[1]
## PuMnSi2Ru (GGA-PBE)

Data for an optimized crystal structure of PuMnSi2Ru.

electronic total energy = -9.2957 eV/atom
SG = I-4m2 (119)

Lattice parameters (Å, degrees): 3.972 3.972 5.895 109.69 109.69 90.00
Positions (direct):
Pu: 0.000 0.000 0.000
Si: 0.618 0.618 0.237
Si: 0.382 0.382 0.763
Ru: 0.750 0.250 0.500
Mn: 0.250 0.750 0.500

***

[2]
## Pu2MnSi2Ru5 (GGA-PBE)

Data for an optimized crystal structure of Pu2MnSi2Ru5.

electronic total energy = -9.8176 eV/atom
SG = P4/mbm (127)

Lattice parameters (Å, degrees): 3.260 9.941 9.941 90.00 90.00 90.00
Positions (direct):
Si: 0.000 0.372 0.128
Si: 0.000 0.872 0.372
Si: 0.000 0.628 0.872
Si: 0.000 0.128 0.628
Ru: 0.500 0.067 0.794
Ru: 0.500 0.933 0.206
Ru: 0.500 0.294 0.567
Ru: 0.500 0.706 0.433
Ru: 0.500 0.500 0.000
Ru: 0.500 0.794 0.933
Ru: 0.500 0.206 0.067
Ru: 0.500 0.000 0.500
Ru: 0.500 0.433 0.294
Ru: 0.500 0.567 0.706
Pu: 0.000 0.673 0.173
Pu: 0.000 0.327 0.827
Pu: 0.000 0.173 0.327
Pu: 0.000 0.827 0.673
Mn: 0.000 0.000 0.000
Mn: 0.000 0.500 0.500

***

[3]
## PuMnSnRu (GGA-PBE)

Data for an optimized crystal structure of PuMnSnRu.

SG = F-43m (216)
formation energy = -0.690 eV/f.u.

Lattice parameters (Å, degrees): 4.659 4.659 4.659 60.00 60.00 60.00
Positions (direct):
Mn: 0.750 0.750 0.750
Pu: 0.000 0.000 0.000
Ru: 0.250 0.250 0.250
Sn: 0.500 0.500 0.500

***

[4]
## PuTaMnRu (GGA-PBE)

Data for an optimized crystal structure of PuTaMnRu.

SG = F-43m (216)
formation energy = 0.023 eV/f.u.

Lattice parameters (Å, degrees): 4.575 4.575 4.575 60.00 60.00 60.00
Positions (direct):
Ta: 0.750 0.750 0.750
Pu: 0.250 0.250 0.250
Mn: 0.000 0.000 0.000
Ru: 0.500 0.500 0.500

***

[5]
## PuMnTcRu (GGA-PBE)

Data for an optimized crystal structure of PuMnTcRu.

SG = F-43m (216)
formation energy = 0.119 eV/f.u.

Lattice parameters (Å, degrees): 4.528 4.528 4.528 60.00 60.00 60.00
Positions (direct):
Tc: 0.500 0.500 0.500
Pu: 0.750 0.750 0.750
Mn: 0.250 0.250 0.250
Ru: 0.000 0.000 0.000

***

[6]
## PuUMnRu (GGA-PBE)

Data for an optimized crystal structure of PuUMnRu.

SG = F-43m (216)
energy above the lowest structure with this stoichiometry = 0.00 eV per formula unit
formation energy = -0.487 eV/f.u.

Lattice parameters (Å, degrees): 4.559 4.559 4.559 60.00 60.00 60.00
Positions (direct):
Pu: 0.250 0.250 0.250
Mn: 0.750 0.750 0.750
Ru: 0.000 0.000 0.000
U: 0.500 0.500 0.500

***

[7]
## PuUMnRu (GGA-PBE)

Data for an optimized crystal structure of PuUMnRu.

SG = F-43m (216)
energy above the lowest structure with this stoichiometry = 0.38 eV per formula unit
formation energy = -0.112 eV/f.u.

Lattice parameters (Å, degrees): 4.554 4.554 4.554 60.00 60.00 60.00
Positions (direct):
Mn: 0.250 0.250 0.250
U: 0.750 0.750 0.750
Ru: 0.000 0.000 0.000
Pu: 0.500 0.500 0.500

***

[8]
## YPuMnRu (GGA-PBE)

Data for an optimized crystal structure of YPuMnRu.

SG = F-43m (216)
formation energy = -0.257 eV/f.u.

Lattice parameters (Å, degrees): 4.834 4.834 4.834 60.00 60.00 60.00
Positions (direct):
Pu: 0.500 0.500 0.500
Ru: 0.750 0.750 0.750
Mn: 0.250 0.250 0.250
Y: 0.000 0.000 0.000